# 1
Density functional theory data (PBE) for an optimized crystal structure of CaAsSe2N.

Formation energy from raw total energies = 0.981 eV/atom
Space-group type = P4/mmm (123)

Lattice parameters (Å, degrees): 5.4494 5.4494 4.1423 90.00 90.00 90.00
Last column: nearest neighbours and their distance in Å.
Sites, in units of the cell vectors:
As 0.5000 0.5000 0.5000  8 Se 3.42
Ca 0.0000 0.0000 0.0000  2 N 2.07
N 0.0000 0.0000 0.5000  2 Ca 2.07
Se 0.5000 0.0000 0.0000  2 Ca 2.72
Se 0.0000 0.5000 0.0000  2 Ca 2.72



# 2
Density functional theory data (PBE) for an optimized crystal structure of CaAsSeN2.

Formation energy from raw total energies = 1.622 eV/atom
Space-group type = P4/mmm (123)

Lattice parameters (Å, degrees): 4.3434 4.3434 5.7596 90.00 90.00 90.00
Last column: nearest neighbours and their distance in Å.
Sites, in units of the cell vectors:
N 0.0000 0.5000 0.0000  2 Ca 2.17
N 0.5000 0.0000 0.0000  2 Ca 2.17
Se 0.0000 0.0000 0.5000  2 Ca 2.88, 4 As 3.07
As 0.5000 0.5000 0.5000  4 Se 3.07
Ca 0.0000 0.0000 0.0000  4 N 2.17



# 3
Density functional theory data (PBE) for an optimized crystal structure of Ca2Sm4As3N2.

Formation energy from raw total energies = -1.237 eV/atom
Space-group type = I4/mmm (139)

Lattice parameters (Å, degrees): 4.7471 4.7471 12.2865 101.14 101.14 90.00
Last column: nearest neighbours and their distance in Å.
Sites, in units of the cell vectors:
Sm 0.4153 0.9153 0.8306  2 N 2.40
Sm 0.5847 0.0847 0.1694  2 N 2.40
Sm 0.0847 0.5847 0.1694  2 N 2.40
Sm 0.9153 0.4153 0.8306  2 N 2.40
N 0.3999 0.3999 0.7997  1 Ca 2.35, 4 Sm 2.40
N 0.6001 0.6001 0.2003  1 Ca 2.35, 4 Sm 2.40
As 0.0000 0.0000 0.0000  8 Sm 3.11
As 0.8260 0.8260 0.6519  1 Ca 2.99, 4 Sm 3.18
As 0.1740 0.1740 0.3481  1 Ca 2.99, 4 Sm 3.18
Ca 0.3006 0.3006 0.6012  1 N 2.35
Ca 0.6994 0.6994 0.3988  1 N 2.35



# 4
Density functional theory data (PBE) for an optimized crystal structure of Ca2SnAsN.

Formation energy from raw total energies = -0.652 eV/atom
Space-group type = P4/mmm (123)

Lattice parameters (Å, degrees): 4.8459 4.8459 4.6002 90.00 90.00 90.00
Last column: nearest neighbours and their distance in Å.
Sites, in units of the cell vectors:
As 0.5000 0.5000 0.5000  8 Ca 3.34, 4 Sn 3.43
Ca 0.5000 0.0000 0.0000  2 N 2.42
Ca 0.0000 0.5000 0.0000  2 N 2.42
N 0.0000 0.0000 0.0000  2 Sn 2.30, 4 Ca 2.42
Sn 0.0000 0.0000 0.5000  2 N 2.30



# 5
Density functional theory data (PBE) for an optimized crystal structure of CaTeAsN2.

Formation energy from raw total energies = 1.378 eV/atom
Space-group type = P4/mmm (123)

Lattice parameters (Å, degrees): 4.5108 4.5108 6.4351 90.00 90.00 90.00
Last column: nearest neighbours and their distance in Å.
Sites, in units of the cell vectors:
As 0.5000 0.5000 0.5000  4 Te 3.19
N 0.0000 0.5000 0.0000  2 Ca 2.26
N 0.5000 0.0000 0.0000  2 Ca 2.26
Te 0.0000 0.0000 0.5000  4 As 3.19, 2 Ca 3.22
Ca 0.0000 0.0000 0.0000  4 N 2.26



# 6
Density functional theory data (PBE) for an optimized crystal structure of Ca4TeAsN.

Formation energy from raw total energies = -1.249 eV/atom
Space-group type = Cmcm (63)

Lattice parameters (Å, degrees): 6.7010 6.7080 8.4867 90.00 113.25 90.00
Last column: nearest neighbours and their distance in Å.
Sites, in units of the cell vectors:
Ca 0.0000 0.5000 0.5000  2 N 2.37
Ca 0.0000 0.0000 0.5000  2 N 2.37
Ca 0.5000 0.5000 0.5000  2 N 2.37
Ca 0.9029 0.2500 0.8059  1 N 2.37
Ca 0.5832 0.2500 0.1664  1 N 2.61
Ca 0.4168 0.7500 0.8336  1 N 2.61
Ca 0.5000 0.0000 0.5000  2 N 2.37
Ca 0.0971 0.7500 0.1941  1 N 2.37
Te 0.1041 0.2500 0.2081  9 Ca 3.14-3.37
Te 0.8959 0.7500 0.7919  9 Ca 3.14-3.37
As 0.6126 0.7500 0.2252  9 Ca 3.05-3.39
As 0.3874 0.2500 0.7748  9 Ca 3.05-3.39
N 0.2492 0.7500 0.4984  6 Ca 2.37-2.61
N 0.7508 0.2500 0.5016  6 Ca 2.37-2.61



# 7
Density functional theory data (PBE) for an optimized crystal structure of CaTe2AsN.

Formation energy from raw total energies = 0.101 eV/atom
Space-group type = P4/mmm (123)

Lattice parameters (Å, degrees): 5.7997 5.7997 3.7157 90.00 90.00 90.00
Last column: nearest neighbours and their distance in Å.
Sites, in units of the cell vectors:
Te 0.5000 0.0000 0.0000  2 As 2.90
Te 0.0000 0.5000 0.0000  2 As 2.90
As 0.0000 0.0000 0.0000  2 N 1.86
N 0.0000 0.0000 0.5000  2 As 1.86
Ca 0.5000 0.5000 0.5000  8 Te 3.44, 2 Ca 3.72



# 8
Density functional theory data (PBE) for an optimized crystal structure of CaTeAsN2.

Formation energy from raw total energies = 0.728 eV/atom
Space-group type = P4/mmm (123)

Lattice parameters (Å, degrees): 4.1426 4.1426 5.7252 90.00 90.00 90.00
Last column: nearest neighbours and their distance in Å.
Sites, in units of the cell vectors:
As 0.0000 0.0000 0.0000  4 N 2.07
Ca 0.5000 0.5000 0.5000  4 Te 2.93
Te 0.0000 0.0000 0.5000  2 As 2.86, 4 Ca 2.93
N 0.0000 0.5000 0.0000  2 As 2.07
N 0.5000 0.0000 0.0000  2 As 2.07



# 9
Density functional theory data (PBE) for an optimized crystal structure of CaTe2AsN.

Formation energy from raw total energies = 0.961 eV/atom
Space-group type = P4/mmm (123)

Lattice parameters (Å, degrees): 5.8709 5.8709 4.0501 90.00 90.00 90.00
Last column: nearest neighbours and their distance in Å.
Sites, in units of the cell vectors:
Te 0.0000 0.5000 0.0000  2 Ca 2.94
Te 0.5000 0.0000 0.0000  2 Ca 2.94
As 0.5000 0.5000 0.5000  8 Te 3.57
N 0.0000 0.0000 0.5000  2 Ca 2.03
Ca 0.0000 0.0000 0.0000  2 N 2.03



# 10
Density functional theory data (PBE) for an optimized crystal structure of CaThAsN.

Formation energy from raw total energies = -1.273 eV/atom
Space-group type = R3m (160)

Lattice parameters (Å, degrees): 3.9531 3.9531 6.8729 73.29 73.29 60.00
Last column: nearest neighbours and their distance in Å.
Sites, in units of the cell vectors:
Th 0.9829 0.9829 0.0514  3 N 2.49
Ca 0.5036 0.5036 0.4892  3 As 2.86, 3 N 2.94
N 0.2652 0.2652 0.2045  3 Th 2.49
As 0.7484 0.7484 0.7549  3 Ca 2.86, 3 Th 2.98



# 11
Density functional theory data (PBE) for an optimized crystal structure of Ca2Th4As3N2.

Formation energy from raw total energies = -1.155 eV/atom
Space-group type = I4/mmm (139)

Lattice parameters (Å, degrees): 4.7741 4.7741 12.4170 101.08 101.08 90.00
Last column: nearest neighbours and their distance in Å.
Sites, in units of the cell vectors:
Th 0.0816 0.5816 0.1631  2 N 2.44
Th 0.5816 0.0816 0.1631  2 N 2.44
Th 0.4184 0.9184 0.8369  2 N 2.44
Th 0.9184 0.4184 0.8369  2 N 2.44
Ca 0.7015 0.7016 0.4031  1 N 2.35
Ca 0.2985 0.2984 0.5969  1 N 2.35
As 0.1733 0.1733 0.3465  1 Ca 2.99, 4 Th 3.24
As 0.8267 0.8267 0.6535  1 Ca 2.99, 4 Th 3.24
As 0.0000 0.0000 0.0000  8 Th 3.08
N 0.6031 0.6031 0.2062  1 Ca 2.35, 4 Th 2.44
N 0.3969 0.3969 0.7938  1 Ca 2.35, 4 Th 2.44



# 12
Density functional theory data (PBE) for an optimized crystal structure of Ca2ZnAsN.

Formation energy from raw total energies = -0.874 eV/atom
Space-group type = P2_1/m (11)

Lattice parameters (Å, degrees): 3.8672 6.7504 8.0590 107.49 90.00 90.00
Last column: nearest neighbours and their distance in Å.
Sites, in units of the cell vectors:
N 0.2500 0.8335 0.8287  1 Zn 1.93
N 0.7500 0.1665 0.1713  1 Zn 1.93
Ca 0.7500 0.8238 0.6277  2 N 2.51
Ca 0.2500 0.1895 0.9653  3 N 2.32-2.58
Ca 0.2500 0.1762 0.3723  2 N 2.51
Ca 0.7500 0.8105 0.0347  3 N 2.32-2.58
As 0.2500 0.6963 0.3045  2 Zn 2.44
As 0.7500 0.3037 0.6955  2 Zn 2.44
Zn 0.2500 0.5338 0.7496  1 N 1.93
Zn 0.7500 0.4662 0.2504  1 N 1.93



# 13
Density functional theory data (PBE) for an optimized crystal structure of CaZn2AsN.

Formation energy from raw total energies = -0.350 eV/atom
Space-group type = I4/mcm (140)

Lattice parameters (Å, degrees): 5.8720 5.8720 6.3078 117.74 117.74 90.00
Last column: nearest neighbours and their distance in Å.
Sites, in units of the cell vectors:
As 0.2500 0.7500 0.5000  4 Zn 2.79, 4 Ca 2.94
As 0.7500 0.2500 0.5001  4 Zn 2.79, 4 Ca 2.94
Zn 0.1774 0.3226 0.0000  2 N 2.16
Zn 0.8226 0.6774 0.0000  2 N 2.16
Zn 0.6774 0.1774 0.0000  2 N 2.16
Zn 0.3227 0.8227 0.0000  2 N 2.16
Ca 0.2501 0.2501 0.5001  2 N 2.37
Ca 0.7501 0.7501 0.5001  2 N 2.37
N 0.0001 0.0001 0.0002  4 Zn 2.16, 2 Ca 2.37
N 0.5001 0.5001 0.0002  4 Zn 2.16, 2 Ca 2.37



# 14
Density functional theory data (PBE) for an optimized crystal structure of Ca2ZnAsN.

Formation energy from raw total energies = -0.796 eV/atom
Space-group type = P4/mmm (123)

Lattice parameters (Å, degrees): 4.9072 4.9072 3.9502 90.00 90.00 90.00
Last column: nearest neighbours and their distance in Å.
Sites, in units of the cell vectors:
Ca 0.5000 0.0000 0.0000  2 N 2.45
Ca 0.0000 0.5000 0.0000  2 N 2.45
N 0.0000 0.0000 0.0000  2 Zn 1.98
As 0.5000 0.5000 0.5000  8 Ca 3.15, 4 Zn 3.47
Zn 0.0000 0.0000 0.5000  2 N 1.98



# 15
Density functional theory data (PBE) for an optimized crystal structure of Na3CaAs.

Space-group type = Pm-3m (221)
Energy of formation = 0.838 eV/atom

Lattice parameters (Å, degrees): 5.9241 5.9241 5.9241 90.00 90.00 90.00
Last column: nearest neighbours and their distance in Å.
Sites, in units of the cell vectors:
Na 0.5000 0.0000 0.0000  2 Ca 2.96
Na 0.0000 0.5000 0.0000  2 Ca 2.96
Na 0.0000 0.0000 0.5000  2 Ca 2.96
Ca 0.0000 0.0000 0.0000  6 Na 2.96
As 0.5000 0.5000 0.5000  12 Na 4.19



# 16
Density functional theory data (PBE) for an optimized crystal structure of NaCa3As.

Space-group type = Pm-3m (221)
Energy of formation = -0.478 eV/atom

Lattice parameters (Å, degrees): 5.7575 5.7575 5.7575 90.00 90.00 90.00
Last column: nearest neighbours and their distance in Å.
Sites, in units of the cell vectors:
Ca 0.5000 0.0000 0.0000  2 As 2.88
Ca 0.0000 0.5000 0.0000  2 As 2.88
Ca 0.0000 0.0000 0.5000  2 As 2.88
As 0.0000 0.0000 0.0000  6 Ca 2.88
Na 0.5000 0.5000 0.5000  12 Ca 4.07



# 17
Density functional theory data (PBE) for an optimized crystal structure of NaCa5As4.

Space-group type = C2/m (12)
Energy of formation = -0.991 eV/atom

Lattice parameters (Å, degrees): 4.9411 7.0538 8.3681 94.16 107.17 90.00
Last column: nearest neighbours and their distance in Å.
Sites, in units of the cell vectors:
As 0.3082 0.2566 0.6164  6 Ca 2.98-3.09
As 0.0130 0.2534 0.0260  5 Ca 2.92-3.06, 2 Na 3.05
As 0.9870 0.7466 0.9740  5 Ca 2.92-3.06, 2 Na 3.05
As 0.6918 0.7434 0.3836  6 Ca 2.98-3.09
Ca 0.8343 0.4903 0.6687  4 As 2.92-3.00
Ca 0.5000 0.5000 0.0000  6 As 3.04-3.40
Ca 0.1547 0.9861 0.3095  5 As 2.99-3.09
Ca 0.8453 0.0139 0.6905  5 As 2.99-3.09
Ca 0.1657 0.5097 0.3313  4 As 2.92-3.00
Na 0.5000 0.0000 0.0000  4 As 3.05



# 18
Density functional theory data (PBE) for an optimized crystal structure of Na3CaAs.

Space-group type = Pm-3m (221)
Energy of formation = -0.070 eV/atom

Lattice parameters (Å, degrees): 5.6499 5.6499 5.6499 90.00 90.00 90.00
Last column: nearest neighbours and their distance in Å.
Sites, in units of the cell vectors:
As 0.0000 0.0000 0.0000  6 Na 2.82
Na 0.0000 0.0000 0.5000  2 As 2.82
Na 0.5000 0.0000 0.0000  2 As 2.82
Na 0.0000 0.5000 0.0000  2 As 2.82
Ca 0.5000 0.5000 0.5000  12 Na 4.00



# 19
Density functional theory data (PBE) for an optimized crystal structure of NaCa2As.

Space-group type = R-3m (166)
Energy of formation = -0.630 eV/atom

Lattice parameters (Å, degrees): 4.3434 4.3434 9.3953 76.64 76.64 60.00
Last column: nearest neighbours and their distance in Å.
Sites, in units of the cell vectors:
Ca 0.7211 0.7211 0.8367  3 As 2.91
Ca 0.2789 0.2789 0.1633  3 As 2.91
As 0.0000 0.0000 0.0000  6 Ca 2.91
Na 0.5000 0.5000 0.5000  6 Ca 3.95, 6 Na 4.34



# 20
Density functional theory data (PBE) for an optimized crystal structure of NaCaAs2.

Space-group type = P4/mmm (123)
Energy of formation = -0.590 eV/atom

Lattice parameters (Å, degrees): 4.2315 4.5640 4.5640 90.00 90.00 90.00
Last column: nearest neighbours and their distance in Å.
Sites, in units of the cell vectors:
Na 0.5000 0.0000 0.0000  8 As 3.11, 4 Ca 3.23
Ca 0.5000 0.5000 0.5000  8 As 3.11, 4 Na 3.23
As 0.0000 0.5000 0.0000  4 Na 3.11, 4 Ca 3.11, 4 As 3.23
As 0.0000 0.0000 0.5000  4 Ca 3.11, 4 Na 3.11, 4 As 3.23



The total magnetic moment results, record by record, are as follows: 0.00 0.86 0.00 0.00 3.45 0.00 0.28 1.94 0.00 0.00 0.00 0.00 0.00 0.00 0.00 0.01 0.00 0.00 0.00 0.00 μB per formula unit.
The theoretical density results, record by record, are as follows: 3.87 3.39 5.83 4.42 3.43 3.57 5.10 4.57 4.57 6.83 7.69 3.88 5.27 4.09 1.47 1.90 3.13 1.69 2.00 4.01 Mg/m³.